(1)
A plane-wave DFT calculation with PBE was carried out for a relaxed structure of Th3Sn2Ru.

Calculated values
**Total moment**: 0.0 μB per cell
**Calculated volume**: 179.6 Å³/f.u.
**Energy**: -6.96 eV per atom
**E_form**: -0.3651 eV per atom
**Symmetry**: C2/c

Cell: 7.872 7.872 8.294 Å, 105.25 105.25 46.82°
Atoms (fractional coordinates):
1 Th 0.003 0.997 0.750
2 Th 0.363 0.364 0.432
3 Th 0.364 0.363 0.932
4 Th 0.636 0.637 0.068
5 Th 0.637 0.636 0.568
6 Th 0.997 0.003 0.250
7 Sn 0.182 0.183 0.091
8 Sn 0.183 0.182 0.591
9 Sn 0.817 0.818 0.409
10 Sn 0.818 0.817 0.909
11 Ru 0.500 0.500 0.250
12 Ru 0.500 0.500 0.750

---

(2)
A plane-wave DFT calculation with PBE was carried out for a relaxed structure of ThSnRu2.

Calculated values
**Total moment**: 0.0 μB per cell
**Calculated volume**: 77.7 Å³/f.u.
**Energy**: -7.91 eV per atom
**E_form**: -0.4166 eV per atom
**Symmetry**: P4/mmm

Cell: 4.605 4.605 3.665 Å, 90.00 90.00 90.00°
Atoms (fractional coordinates):
1 Th 0.000 0.000 0.000
2 Sn 0.500 0.500 0.000
3 Ru 0.000 0.500 0.500
4 Ru 0.500 0.000 0.500

---

(3)
A plane-wave DFT calculation with PBE was carried out for a relaxed structure of ThSn3Ru4.

Calculated values
**Total moment**: 0.0 μB per cell
**Calculated volume**: 146.1 Å³/f.u.
**Energy**: -7.31 eV per atom
**E_form**: -0.2477 eV per atom
**Symmetry**: R-3m

Cell: 8.140 8.140 8.140 Å, 33.47 33.47 33.47°
Atoms (fractional coordinates):
1 Th 0.000 0.000 0.000
2 Sn 0.249 0.249 0.249
3 Sn 0.500 0.500 0.500
4 Sn 0.751 0.751 0.751
5 Ru 0.129 0.129 0.129
6 Ru 0.383 0.383 0.383
7 Ru 0.617 0.617 0.617
8 Ru 0.871 0.871 0.871

---

(4)
A plane-wave DFT calculation with PBE was carried out for a relaxed structure of ThSnRu.

Calculated values
**Total moment**: 0.0 μB per cell
**Calculated volume**: 68.8 Å³/f.u.
**Energy**: -7.49 eV per atom
**E_form**: -0.5875 eV per atom
**Symmetry**: Pmma

Cell: 13.168 4.036 7.764 Å, 90.00 90.00 90.00°
Atoms (fractional coordinates):
1 Th 0.045 0.000 0.222
2 Th 0.250 0.000 0.851
3 Th 0.455 0.000 0.222
4 Th 0.545 0.000 0.778
5 Th 0.750 0.000 0.149
6 Th 0.955 0.000 0.778
7 Sn 0.122 0.500 0.563
8 Sn 0.250 0.500 0.196
9 Sn 0.378 0.500 0.563
10 Sn 0.622 0.500 0.437
11 Sn 0.750 0.500 0.804
12 Sn 0.878 0.500 0.437
13 Ru 0.104 0.500 0.924
14 Ru 0.250 0.000 0.440
15 Ru 0.396 0.500 0.924
16 Ru 0.604 0.500 0.076
17 Ru 0.750 0.000 0.560
18 Ru 0.896 0.500 0.076

---

(5)
A plane-wave DFT calculation with PBE was carried out for a relaxed structure of Th4Sn3Ru2.

Calculated values
**Total moment**: 0.0 μB per cell
**Calculated volume**: 237.9 Å³/f.u.
**Energy**: -7.16 eV per atom
**E_form**: -0.4652 eV per atom
**Symmetry**: C2/c

Cell: 8.779 8.779 6.243 Å, 90.42 90.42 81.40°
Atoms (fractional coordinates):
1 Th 0.024 0.779 0.501
2 Th 0.221 0.976 0.999
3 Th 0.267 0.435 0.747
4 Th 0.435 0.267 0.247
5 Th 0.565 0.733 0.753
6 Th 0.733 0.565 0.253
7 Th 0.779 0.024 0.001
8 Th 0.976 0.221 0.499
9 Sn 0.007 0.693 0.993
10 Sn 0.307 0.993 0.507
11 Sn 0.359 0.641 0.250
12 Sn 0.641 0.359 0.750
13 Sn 0.693 0.007 0.493
14 Sn 0.993 0.307 0.007
15 Ru 0.125 0.472 0.326
16 Ru 0.472 0.125 0.826
17 Ru 0.528 0.875 0.174
18 Ru 0.875 0.528 0.674

---

(6)
A plane-wave DFT calculation with PBE was carried out for a relaxed structure of Th4SnRu2.

Calculated values
**Total moment**: 0.0 μB per cell
**Calculated volume**: 187.8 Å³/f.u.
**Energy**: -7.92 eV per atom
**E_form**: -0.4540 eV per atom
**Symmetry**: P1

Cell: 7.002 7.125 8.897 Å, 107.51 106.98 104.65°
Atoms (fractional coordinates):
1 Th 0.000 0.000 0.000
2 Th 0.039 0.726 0.591
3 Th 0.109 0.296 0.729
4 Th 0.264 0.610 0.198
5 Th 0.506 0.558 0.597
6 Th 0.567 0.120 0.720
7 Th 0.660 0.159 0.319
8 Th 0.725 0.569 0.121
9 Sn 0.155 0.037 0.382
10 Sn 0.436 0.815 0.937
11 Ru 0.046 0.378 0.338
12 Ru 0.368 0.199 0.981
13 Ru 0.708 0.864 0.486
14 Ru 0.880 0.537 0.832

---

(7)
A plane-wave DFT calculation with PBE was carried out for a relaxed structure of Th2SnRu.

Calculated values
**Total moment**: 0.0 μB per cell
**Calculated volume**: 110.6 Å³/f.u.
**Energy**: -7.44 eV per atom
**E_form**: -0.4071 eV per atom
**Symmetry**: Pnma

Cell: 6.480 6.006 11.365 Å, 90.00 90.00 90.00°
Atoms (fractional coordinates):
1 Th 0.100 0.250 0.118
2 Th 0.150 0.750 0.330
3 Th 0.350 0.250 0.830
4 Th 0.400 0.750 0.618
5 Th 0.600 0.250 0.382
6 Th 0.650 0.750 0.170
7 Th 0.850 0.250 0.670
8 Th 0.900 0.750 0.882
9 Sn 0.100 0.250 0.422
10 Sn 0.400 0.750 0.922
11 Sn 0.600 0.250 0.078
12 Sn 0.900 0.750 0.578
13 Ru 0.115 0.750 0.107
14 Ru 0.385 0.250 0.607
15 Ru 0.615 0.750 0.393
16 Ru 0.885 0.250 0.893

---

(8)
A plane-wave DFT calculation with PBE was carried out for a relaxed structure of Th2Sn8Ru.

Calculated values
**Total moment**: 0.0 μB per cell
**Calculated volume**: 278.3 Å³/f.u.
**Energy**: -5.46 eV per atom
**E_form**: -0.3600 eV per atom
**Symmetry**: P4/mmm

Cell: 4.754 4.754 12.314 Å, 90.00 90.00 90.00°
Atoms (fractional coordinates):
1 Th 0.000 0.000 0.189
2 Th 0.000 0.000 0.811
3 Sn 0.000 0.500 0.000
4 Sn 0.000 0.500 0.379
5 Sn 0.000 0.500 0.621
6 Sn 0.500 0.000 0.000
7 Sn 0.500 0.000 0.379
8 Sn 0.500 0.000 0.621
9 Sn 0.500 0.500 0.196
10 Sn 0.500 0.500 0.804
11 Ru 0.000 0.000 0.500

---

(9)
A plane-wave DFT calculation with PBE was carried out for a relaxed structure of ThSnRu.

Calculated values
**Total moment**: 0.0 μB per cell
**Calculated volume**: 77.5 Å³/f.u.
**Energy**: -7.03 eV per atom
**E_form**: -0.1297 eV per atom
**Symmetry**: I4/mmm

Cell: 12.091 12.091 12.091 Å, 162.78 162.78 24.45°
Atoms (fractional coordinates):
1 Th 0.160 0.160 0.000
2 Th 0.840 0.840 0.000
3 Sn 0.438 0.438 0.000
4 Sn 0.562 0.562 0.000
5 Ru 0.273 0.273 0.000
6 Ru 0.727 0.727 0.000

---

(10)
A plane-wave DFT calculation with PBE was carried out for a relaxed structure of Th2SnRu2.

Calculated values
**Total moment**: 0.0 μB per cell
**Calculated volume**: 113.7 Å³/f.u.
**Energy**: -7.99 eV per atom
**E_form**: -0.5073 eV per atom
**Symmetry**: Immm

Cell: 5.601 5.601 5.601 Å, 132.07 114.55 85.10°
Atoms (fractional coordinates):
1 Th 0.202 0.202 0.000
2 Th 0.798 0.798 0.000
3 Sn 0.500 0.000 0.500
4 Ru 0.243 0.500 0.743
5 Ru 0.757 0.500 0.257

---

(11)
A plane-wave DFT calculation with PBE was carried out for a relaxed structure of Th4SnRu2.

Calculated values
**Total moment**: 0.0 μB per cell
**Calculated volume**: 195.7 Å³/f.u.
**Energy**: -7.95 eV per atom
**E_form**: -0.4851 eV per atom
**Symmetry**: Cmcm

Cell: 6.704 6.704 13.682 Å, 90.00 90.00 140.46°
Atoms (fractional coordinates):
1 Th 0.000 0.000 0.000
2 Th 0.000 0.000 0.500
3 Th 0.268 0.732 0.612
4 Th 0.268 0.732 0.888
5 Th 0.420 0.580 0.250
6 Th 0.580 0.420 0.750
7 Th 0.732 0.268 0.112
8 Th 0.732 0.268 0.388
9 Sn 0.112 0.888 0.250
10 Sn 0.888 0.112 0.750
11 Ru 0.387 0.613 0.054
12 Ru 0.387 0.613 0.446
13 Ru 0.613 0.387 0.554
14 Ru 0.613 0.387 0.946

---

(12)
A plane-wave DFT calculation with PBE was carried out for a relaxed structure of Th8Sn2Ru3.

Calculated values
**Total moment**: 0.0 μB per cell
**Calculated volume**: 435.8 Å³/f.u.
**Energy**: -7.53 eV per atom
**E_form**: -0.2124 eV per atom
**Symmetry**: C2/m

Cell: 8.990 8.990 6.997 Å, 103.80 103.80 53.08°
Atoms (fractional coordinates):
1 Th 0.101 0.101 0.396
2 Th 0.150 0.646 0.102
3 Th 0.354 0.850 0.898
4 Th 0.399 0.399 0.593
5 Th 0.601 0.601 0.407
6 Th 0.646 0.150 0.102
7 Th 0.850 0.354 0.898
8 Th 0.899 0.899 0.604
9 Sn 0.250 0.250 0.829
10 Sn 0.750 0.750 0.171
11 Ru 0.000 0.000 0.000
12 Ru 0.253 0.747 0.500
13 Ru 0.747 0.253 0.500

---

(13)
A plane-wave DFT calculation with PBE was carried out for a relaxed structure of Th2SnRu.

Calculated values
**Total moment**: 0.0 μB per cell
**Calculated volume**: 134.1 Å³/f.u.
**Energy**: -7.13 eV per atom
**E_form**: -0.1022 eV per atom
**Symmetry**: R-3m

Cell: 10.010 10.010 10.010 Å, 22.98 22.98 22.98°
Atoms (fractional coordinates):
1 Th 0.112 0.112 0.112
2 Th 0.888 0.888 0.888
3 Sn 0.000 0.000 0.000
4 Ru 0.500 0.500 0.500

---

(14)
A plane-wave DFT calculation with PBE was carried out for a relaxed structure of ThSn2Ru.

Calculated values
**Total moment**: 0.0 μB per cell
**Calculated volume**: 94.5 Å³/f.u.
**Energy**: -6.52 eV per atom
**E_form**: -0.3458 eV per atom
**Symmetry**: R-3m

Cell: 5.863 5.863 5.863 Å, 45.82 45.82 45.82°
Atoms (fractional coordinates):
1 Th 0.000 0.000 0.000
2 Sn 0.220 0.220 0.220
3 Sn 0.780 0.780 0.780
4 Ru 0.500 0.500 0.500

---

(15)
A plane-wave DFT calculation with PBE was carried out for a relaxed structure of ThSnRu2.

Calculated values
**Total moment**: 0.0 μB per cell
**Calculated volume**: 79.3 Å³/f.u.
**Energy**: -7.69 eV per atom
**E_form**: -0.1965 eV per atom
**Symmetry**: P4/mmm

Cell: 3.463 3.463 6.609 Å, 90.00 90.00 90.00°
Atoms (fractional coordinates):
1 Th 0.000 0.000 0.000
2 Sn 0.000 0.000 0.500
3 Ru 0.500 0.500 0.271
4 Ru 0.500 0.500 0.729

---

(16)
A plane-wave DFT calculation with PBE was carried out for a relaxed structure of Th6SnRu.

Calculated values
**Total moment**: 0.0 μB per cell
**Calculated volume**: 254.0 Å³/f.u.
**Energy**: -7.28 eV per atom
**E_form**: -0.0548 eV per atom
**Symmetry**: R-3m

Cell: 6.491 6.491 6.491 Å, 101.61 101.61 101.61°
Atoms (fractional coordinates):
1 Th 0.198 0.198 0.596
2 Th 0.198 0.596 0.198
3 Th 0.404 0.802 0.802
4 Th 0.596 0.198 0.198
5 Th 0.802 0.404 0.802
6 Th 0.802 0.802 0.404
7 Sn 0.000 0.000 0.000
8 Ru 0.500 0.500 0.500

---

(17)
A plane-wave DFT calculation with PBE was carried out for a relaxed structure of ThSnRu.

Calculated values
**Total moment**: 0.0 μB per cell
**Calculated volume**: 70.0 Å³/f.u.
**Energy**: -7.28 eV per atom
**E_form**: -0.3830 eV per atom
**Symmetry**: P-6m2

Cell: 4.707 4.707 3.650 Å, 90.00 90.00 120.00°
Atoms (fractional coordinates):
1 Th 0.000 0.000 0.000
2 Sn 0.333 0.667 0.500
3 Ru 0.667 0.333 0.500

---

(18)
A plane-wave DFT calculation with PBE was carried out for a relaxed structure of ThSnRu2.

Calculated values
**Total moment**: 0.0 μB per cell
**Calculated volume**: 97.0 Å³/f.u.
**Energy**: -7.27 eV per atom
**E_form**: 0.2191 eV per atom
**Symmetry**: Pmma

Cell: 6.309 7.344 8.372 Å, 90.00 90.00 90.00°
Atoms (fractional coordinates):
1 Th 0.250 0.000 0.218
2 Th 0.250 0.500 0.269
3 Th 0.750 0.000 0.782
4 Th 0.750 0.500 0.731
5 Sn 0.250 0.000 0.773
6 Sn 0.250 0.500 0.762
7 Sn 0.750 0.000 0.227
8 Sn 0.750 0.500 0.238
9 Ru 0.000 0.000 0.500
10 Ru 0.000 0.500 0.000
11 Ru 0.250 0.295 0.511
12 Ru 0.250 0.705 0.511
13 Ru 0.500 0.000 0.500
14 Ru 0.500 0.500 0.000
15 Ru 0.750 0.295 0.489
16 Ru 0.750 0.705 0.489

---

(19)
A plane-wave DFT calculation with PBE was carried out for a relaxed structure of ThSn2Ru2.

Calculated values
**Total moment**: 0.0 μB per cell
**Calculated volume**: 111.8 Å³/f.u.
**Energy**: -6.92 eV per atom
**E_form**: -0.1253 eV per atom
**Symmetry**: C2/c

Cell: 5.711 5.711 8.176 Å, 101.40 101.40 115.48°
Atoms (fractional coordinates):
1 Th 0.125 0.875 0.750
2 Th 0.875 0.125 0.250
3 Sn 0.268 0.517 0.037
4 Sn 0.483 0.732 0.463
5 Sn 0.517 0.268 0.537
6 Sn 0.732 0.483 0.963
7 Ru 0.150 0.850 0.250
8 Ru 0.400 0.600 0.750
9 Ru 0.600 0.400 0.250
10 Ru 0.850 0.150 0.750

---

(20)
A plane-wave DFT calculation with PBE was carried out for a relaxed structure of ThSnRu.

Calculated values
**Total moment**: 0.0 μB per cell
**Calculated volume**: 75.6 Å³/f.u.
**Energy**: -7.34 eV per atom
**E_form**: -0.4420 eV per atom
**Symmetry**: F-43m

Cell: 4.746 4.746 4.746 Å, 60.00 60.00 60.00°
Atoms (fractional coordinates):
1 Th 0.000 0.000 0.000
2 Sn 0.500 0.500 0.500
3 Ru 0.750 0.750 0.750